{"formula": "ErNpCoO6", "functional": "GGA+U", "state": "relaxed", "vol_a3_per_cell": 239.8, "energy_ev_per_atom": -8.1944, "sg": "No. 163", "lattice": [[-3.242, 4.430, -1.265], [0.179, -4.440, -3.463], [-6.655, -3.637, 4.319]], "species": ["Co", "Co", "O", "O", "O", "O", "O", "O", "O", "O", "O", "O", "O", "O", "Er", "Er", "Np", "Np"], "frac_coords": [[0.000, 0.000, 0.000], [0.000, 0.000, 0.500], [0.354, 0.326, 0.371], [0.971, 0.326, 0.129], [0.646, 0.971, 0.871], [0.326, 0.971, 0.629], [0.354, 0.029, 0.129], [0.646, 0.674, 0.629], [0.326, 0.354, 0.871], [0.674, 0.029, 0.371], [0.029, 0.674, 0.871], [0.971, 0.646, 0.371], [0.029, 0.354, 0.629], [0.674, 0.646, 0.129], [0.333, 0.667, 0.250], [0.667, 0.333, 0.750], [0.667, 0.333, 0.250], [0.333, 0.667, 0.750]]}